No. 1
{
  "formula": "BaSb2",
  "functional": "GGA-PBE",
  "state": "relaxed",
  "lattice_angstrom": [[0.000, 4.659, 4.659], [4.659, 0.000, 4.659], [4.659, 4.659, 0.000]],
  "species": ["Ba", "Ba", "Sb", "Sb", "Sb", "Sb"],
  "fractional_positions": [[0.125, 0.125, 0.125], [0.875, 0.875, 0.875], [0.000, 0.500, 0.500], [0.500, 0.000, 0.500], [0.500, 0.500, 0.000], [0.500, 0.500, 0.500]],
  "sg": "No. 227",
  "e_form_raw_ev_per_atom": -0.564
}

***

No. 2
{
  "formula": "MnCd3As",
  "functional": "GGA-PBE",
  "state": "relaxed",
  "lattice_angstrom": [[5.303, 0.000, 0.000], [0.000, 5.303, 0.000], [0.000, 0.000, 5.303]],
  "species": ["Mn", "Cd", "Cd", "Cd", "As"],
  "fractional_positions": [[0.000, 0.000, 0.000], [0.000, 0.500, 0.500], [0.500, 0.000, 0.500], [0.500, 0.500, 0.000], [0.500, 0.500, 0.500]],
  "sg": "No. 221",
  "formation_enthalpy_0k_ev_per_atom": 0.70
}

***

No. 3
{
  "formula": "Tl5Fe2I12",
  "functional": "GGA-PBE",
  "state": "relaxed",
  "lattice_angstrom": [[9.308, -4.282, 0.000], [9.308, 4.282, 0.000], [-3.172, 0.000, 9.814]],
  "species": ["Tl", "Tl", "Tl", "Tl", "Tl", "Fe", "Fe", "I", "I", "I", "I", "I", "I", "I", "I", "I", "I", "I", "I"],
  "fractional_positions": [[0.000, 0.000, 0.000], [0.292, 0.292, 0.132], [0.314, 0.314, 0.660], [0.686, 0.686, 0.340], [0.708, 0.708, 0.868], [0.263, 0.737, 0.500], [0.737, 0.263, 0.500], [0.001, 0.001, 0.318], [0.099, 0.593, 0.414], [0.118, 0.629, 0.938], [0.371, 0.882, 0.062], [0.407, 0.901, 0.586], [0.497, 0.497, 0.307], [0.503, 0.503, 0.693], [0.593, 0.099, 0.414], [0.629, 0.118, 0.938], [0.882, 0.371, 0.062], [0.901, 0.407, 0.586], [0.999, 0.999, 0.682]],
  "sg": "No. 12",
  "e_form_raw_ev_per_atom": -0.337
}

***

Taking the records one at a time from the top gives calculated volume values of 33.71, 29.83, 41.17 A^3/atom.
Taking the records one at a time from the top gives spin magnetization values of 0.00, 0.94, 0.48 μB per atom.